A geometry-optimized Na2SrCd4 structure, computed with PBE.

The value obtained for the energy above the most stable polymorph in this dataset is 26 meV per atom. The calculation puts the formation energy at -170 meV/atom. Its crystal system is monoclinic.

The space group is C2/c (No. 15) and the conventional cell measures 19.412, 7.007 and 5.943 Å, with angles of 90.00, 90.02 and 90.00 degrees. The asymmetric unit holds Na at (0.208, 0.131, 0.251), Sr at (0.000, 0.276, 0.250), Cd at (0.081, 0.166, 0.750) and Cd at (0.145, 0.500, 0.000).

A geometry-optimized TbNdPu4 structure, computed with PBE.

The calculation puts the formation energy at 240 meV/atom. Its crystal system is cubic.

The space group is F-43m (No. 216) and the conventional cell measures 8.771, 8.771 and 8.771 Å, with angles of 90.00, 90.00 and 90.00 degrees. The asymmetric unit holds Tb at (0.000, 0.000, 0.000), Nd at (0.250, 0.250, 0.750) and Pu at (0.125, 0.125, 0.375).

A geometry-optimized DySn6Ir structure, computed with PBE.

The calculation puts the formation energy at -151 meV/atom. Its crystal system is monoclinic.

The space group is C2/m (No. 12) and the conventional cell measures 6.418, 10.936 and 6.472 Å, with angles of 90.00, 114.73 and 90.00 degrees. The asymmetric unit holds Dy at (0.000, 0.000, 0.000), Sn at (0.050, 0.500, 0.281), Sn at (0.103, 0.224, 0.748) and Ir at (0.000, 0.000, 0.500).

A geometry-optimized CaTa2AlH structure, computed with PBE.

Its crystal system is tetragonal. The total energy is -6.37 eV/atom.

The space group is P4/mmm (No. 123) and the conventional cell measures 4.158, 4.158 and 4.761 Å, with angles of 90.00, 90.00 and 90.00 degrees. The asymmetric unit holds Ca at (0.000, 0.000, 0.000), Ta at (0.000, 0.500, 0.500), Al at (0.500, 0.500, 0.000) and H at (0.000, 0.000, 0.500).

A geometry-optimized Th4SiSe4 structure, computed with PBE.

The value obtained for the energy above the most stable polymorph in this dataset is 584 meV per atom. Its crystal system is tetragonal. Its raw formation energy is -894 meV per atom.

The space group is I-42m (No. 121) and the conventional cell measures 7.118, 7.118 and 11.507 Å, with angles of 90.00, 90.00 and 90.00 degrees. The asymmetric unit holds Th at (0.215, 0.215, 0.143), Si at (0.000, 0.000, 0.000), Se at (0.000, 0.000, 0.324) and Se at (0.000, 0.500, 0.000).

A geometry-optimized KCoSb2 structure, computed with PBE.

The value obtained for the energy above the most stable polymorph in this dataset is 285 meV per atom. Its crystal system is orthorhombic. Its raw formation energy is 109 meV per atom.

The space group is Immm (No. 71) and the conventional cell measures 4.148, 6.695 and 8.614 Å, with angles of 90.00, 90.00 and 90.00 degrees. The asymmetric unit holds K at (0.000, 0.000, 0.000), Co at (0.000, 0.000, 0.500) and Sb at (0.000, 0.500, 0.166).

A geometry-optimized Th2MnSiC structure, computed with PBE.

Its crystal system is monoclinic. Its raw formation energy is -391 meV per atom.

The space group is P2_1/m (No. 11) and the conventional cell measures 6.338, 4.023 and 8.381 Å, with angles of 90.00, 109.78 and 90.00 degrees. The asymmetric unit holds Th at (0.213, 0.250, 0.398), Th at (0.233, 0.250, 0.970), Mn at (0.482, 0.750, 0.254), Si at (0.319, 0.750, 0.701) and C at (0.180, 0.750, 0.178).

A geometry-optimized LaTaVOs2 structure, computed with PBE.

The calculation puts the formation energy at -214 meV/atom. Its crystal system is tetragonal.

The space group is I-4m2 (No. 119) and the conventional cell measures 4.316, 4.316 and 10.825 Å, with angles of 90.00, 90.00 and 90.00 degrees. The asymmetric unit holds La at (0.000, 0.000, 0.000), Ta at (0.000, 0.500, 0.750), V at (0.000, 0.500, 0.250) and Os at (0.000, 0.000, 0.378).

no.,magnetization (μB/f.u.)
1,0.000
2,22.697
3,0.000
4,0.000
5,0.002
6,0.681
7,0.019
8,0.000